No. 1
# TlPdF3 PBE-GGA optimized geometry
# V (Å³/cell): 193
# Uncorrected formation energy (kJ per mole of atoms): -137
# Fermi-level density of states (states/eV/f.u.): 0.000
# Crystal system: monoclinic
# Offset from the most stable computed form (meV/atom): 22
data_TlPdF3
_cell_length_a 17.132
_cell_length_b 7.094
_cell_length_c 7.094
_cell_angle_alpha 146.83
_cell_angle_beta 151.01
_cell_angle_gamma 28.99
_space_group_name_H-M_alt 'P 1'
_space_group_IT_number 1
_space_group_name_Hall 'P 1'
loop_
_atom_site_label
_atom_site_type_symbol
_atom_site_fract_x
_atom_site_fract_y
_atom_site_fract_z
_atom_site_occupancy
F1 F 0.390 0.795 0.205 1
F2 F 0.610 0.205 0.795 1
F3 F 0.889 0.232 0.768 1
F4 F 0.834 0.542 0.458 1
F5 F 0.166 0.458 0.542 1
F6 F 0.111 0.768 0.232 1
Pd1 Pd 0.860 0.989 0.011 1
Pd2 Pd 0.140 0.011 0.989 1
Tl1 Tl 0.661 0.947 0.053 1
Tl2 Tl 0.339 0.053 0.947 1

---

No. 2
# CaTaB3 PBE-GGA optimized geometry
# V (Å³/cell): 68
# Fermi-level density of states (states/eV/f.u.): 2.851
# Energy of formation (eV per atom): 2.52
# Crystal system: cubic
# Offset from the most stable computed form (meV/atom): 1930
data_CaTaB3
_cell_length_a 4.075
_cell_length_b 4.075
_cell_length_c 4.075
_cell_angle_alpha 90.00
_cell_angle_beta 90.00
_cell_angle_gamma 90.00
_space_group_name_H-M_alt 'P 1'
_space_group_IT_number 1
_space_group_name_Hall 'P 1'
loop_
_atom_site_label
_atom_site_type_symbol
_atom_site_fract_x
_atom_site_fract_y
_atom_site_fract_z
_atom_site_occupancy
B1 B 0.000 0.500 0.000 1
B2 B 0.000 0.000 0.500 1
B3 B 0.500 0.000 0.000 1
Ca1 Ca 0.000 0.000 0.000 1
Ta1 Ta 0.500 0.500 0.500 1

---

No. 3
# Tc2CBr PBE-GGA optimized geometry
# V (Å³/cell): 51
# Uncorrected formation energy (kJ per mole of atoms): 139
# Fermi-level density of states (states/eV/f.u.): 2.577
# Crystal system: cubic
# Offset from the most stable computed form (meV/atom): 645
data_Tc2CBr
_cell_length_a 4.164
_cell_length_b 4.164
_cell_length_c 4.164
_cell_angle_alpha 60.00
_cell_angle_beta 60.00
_cell_angle_gamma 60.00
_space_group_name_H-M_alt 'P 1'
_space_group_IT_number 1
_space_group_name_Hall 'P 1'
loop_
_atom_site_label
_atom_site_type_symbol
_atom_site_fract_x
_atom_site_fract_y
_atom_site_fract_z
_atom_site_occupancy
C1 C 0.000 0.000 0.000 1
Br1 Br 0.500 0.500 0.500 1
Tc1 Tc 0.250 0.250 0.250 1
Tc2 Tc 0.750 0.750 0.750 1